VASP calculation (GGA+U) on Li2VSiO4 after structural relaxation.

abc: 4.812 5.811 7.926
angles: 90.00 127.08 90.00
Space group Pc (No. 7)
Symmetry-distinct sites (fractional):
Li 0.000 0.145 0.000
Li 0.257 0.303 0.759
V 0.764 0.349 0.241
Si 0.486 0.167 0.504
O 0.146 0.163 0.506
O 0.358 0.322 0.289
O 0.595 0.101 0.001
O 0.808 0.300 0.721

Summary:
E (eV per atom): -6.794